1.
The following is a PBE calculation of an optimized crystal structure of LaTlCd, from the Open Quantum Materials Database.

## Properties
As for the uncorrected energy: -9.3 eV/f.u.

Cell: 5.4301 5.4301 6.6929 Å, 90.00 90.00 120.00°
With the nearest neighbours (Å) after each atom.
Space group P6_3/mmc (No. 194)
Symmetry-distinct sites (fractional):
La  0.3333  0.6667  0.2500 (multiplicity 2)  5 Tl 3.14-3.35
Tl  0.3333  0.6667  0.7500 (multiplicity 2)  5 La 3.14-3.35
Cd  0.0000  0.0000  0.0000 (multiplicity 2)  2 Cd 3.35, 6 La 3.55, 6 Tl 3.55

***

2.
The following is a PBE calculation of an optimized crystal structure of LaTlCd, from the Open Quantum Materials Database.

## Properties
As for the uncorrected energy: -9.3 eV/f.u.

Cell: 5.0333 8.8183 7.7437 Å, 90.00 90.00 90.00°
With the nearest neighbours (Å) after each atom.
Space group Imm2 (No. 44)
Symmetry-distinct sites (fractional):
La  0.0000  0.0000  0.0000 (multiplicity 2)  6 Tl 3.32-3.69, 6 Cd 3.41-3.63
La  0.0000  0.0000  0.4982 (multiplicity 2)  6 Cd 3.36-3.68, 6 Tl 3.37-3.64
Tl  0.0000  0.3267  0.7864 (multiplicity 4)  2 Cd 2.95, 1 Tl 3.06
Cd  0.0000  0.3366  0.2174 (multiplicity 4)  1 Cd 2.88, 2 Tl 2.95